Computed, not measured: MnSiB after structural relaxation at the PBE level of DFT.

Geometry as POSCAR:
```
MnSiB
1.0
-3.735 -0.168 1.576
0.111 -2.873 -0.042
2.901 0.050 4.330
Mn Si B
2 2 2
Cartesian
-0.230 -2.194 1.862
-0.493 -0.796 4.003
1.895 -0.711 4.475
-2.618 -2.280 1.389
-1.829 -2.277 3.318
1.107 -0.713 2.547
```

Computed properties:
energy: -7.44 eV per atom
raw formation energy: -1.1 eV/f.u.
density of states at the Fermi level: 1.1 states/eV per cell